#P
Entry from the Alexandria database: a geometry-optimized Pm2Mg3Cd structure (PBE).

Computed properties:
Symmetry: Pmm2 (25)

Lattice parameters (Å, degrees): 3.3662 5.2295 9.0198 90.00 90.00 90.00
Closest atoms and distances in Å follow each position.
Atoms (fractional coordinates):
Mg: 0.5000 0.0000 0.1659  3 Mg 3.01-3.37, 2 Cd 3.03
Mg: 0.5000 0.0000 0.8320  5 Mg 3.01-3.37
Cd: 0.5000 0.5000 0.3352  3 Mg 2.99-3.03
Pm: 0.0000 0.0000 0.4943  2 Pm 3.37, 8 Mg 3.41-3.48, 4 Cd 3.42
Pm: 0.0000 0.5000 0.0059  2 Pm 3.37, 2 Cd 3.41, 10 Mg 3.43-3.49
Mg: 0.5000 0.5000 0.6668  1 Cd 2.99, 2 Mg 3.01


#Q
Entry from the Alexandria database: a geometry-optimized Pm2Mg3Cd structure (PBE).

Computed properties:
Symmetry: Fmmm (69)

Lattice parameters (Å, degrees): 6.2121 6.2121 9.6389 100.79 100.79 114.77
Closest atoms and distances in Å follow each position.
Atoms (fractional coordinates):
Pm: 0.2512 0.2512 0.0000  2 Pm 3.33-3.36, 10 Mg 3.43-3.48, 2 Cd 3.44
Pm: 0.7488 0.7488 0.0000  2 Pm 3.33-3.36, 10 Mg 3.43-3.48, 2 Cd 3.44
Mg: 0.6640 0.1686 0.8325  1 Cd 2.99, 4 Mg 3.03-3.35
Cd: 0.3335 0.3335 0.6670  5 Mg 2.99-3.35
Mg: 0.3360 0.8314 0.1675  1 Cd 2.99, 4 Mg 3.03-3.35
Pm: 0.2500 0.7500 0.5000  2 Pm 3.35, 8 Mg 3.44-3.45, 4 Cd 3.45
Cd: 0.6665 0.6665 0.3330  5 Mg 2.99-3.35
Mg: 0.1674 0.1674 0.3349  3 Cd 3.00-3.35, 2 Mg 3.04
Mg: 0.8314 0.3360 0.1675  1 Cd 2.99, 4 Mg 3.03-3.35
Mg: 0.1686 0.6640 0.8325  1 Cd 2.99, 4 Mg 3.03-3.35
Mg: 0.8326 0.8326 0.6651  3 Cd 3.00-3.35, 2 Mg 3.04
Pm: 0.7500 0.2500 0.5000  2 Pm 3.35, 8 Mg 3.44-3.45, 4 Cd 3.45


Which is the most stable structure? #Q is the most stable.